Density functional theory data (PBE) for a relaxed structure of Dy2HoTl.

CIF file:
```
data_Dy2HoTl
_chemical_formula_sum 'Dy4 Ho2 Tl2'
_space_group_name_H-M_alt 'P 1 21/m 1'
_space_group_IT_number 11
_cell_length_a 6.714
_cell_length_b 5.316
_cell_length_c 6.717
_cell_angle_alpha 90.00
_cell_angle_beta 101.09
_cell_angle_gamma 90.00
loop_
_space_group_symop_operation_xyz
'x,y,z'
'-x,-y,-z'
'-x,y+1/2,-z'
'x,-y+1/2,z'
loop_
_atom_site_label
_atom_site_type_symbol
_atom_site_fract_x
_atom_site_fract_y
_atom_site_fract_z
_atom_site_occupancy
Dy1 Dy 0.096 0.250 0.417 1
Dy2 Dy 0.227 0.750 0.135 1
Ho1 Ho 0.424 0.750 0.662 1
Tl1 Tl 0.260 0.250 0.887 1
```

Values from the calculation:
- calculated formation energy (kcal/mol of atoms) = -4.34
- magnetic moment (μB per atom) = 0.00
- crystal system = monoclinic
- density (Mg/m³) = 9.8
- E (eV for the cell shown) = -33.80
- excess energy over the best structure of this formula in the dataset (meV/atom) = 0.0

Density functional theory data (PBE) for a relaxed structure of Dy7HoTl2.

CIF file:
```
data_Dy7HoTl2
_chemical_formula_sum 'Dy14 Ho2 Tl4'
_space_group_name_H-M_alt 'C m m m'
_space_group_IT_number 65
_space_group_name_Hall '-C 2 2'
_cell_length_a 9.170
_cell_length_b 15.626
_cell_length_c 5.282
_cell_angle_alpha 90.00
_cell_angle_beta 90.00
_cell_angle_gamma 90.00
loop_
_atom_site_label
_atom_site_type_symbol
_atom_site_fract_x
_atom_site_fract_y
_atom_site_fract_z
_atom_site_occupancy
Dy1 Dy 0.000 0.000 0.000 1
Dy2 Dy 0.000 0.276 0.500 1
Dy3 Dy 0.182 0.381 0.000 1
Ho1 Ho 0.000 0.500 0.500 1
Tl1 Tl 0.000 0.193 0.000 1
```

Values from the calculation:
- calculated formation energy (kcal/mol of atoms) = 8.44
- magnetic moment (μB per atom) = 0.00
- crystal system = orthorhombic
- density (Mg/m³) = 7.5
- E (eV for the cell shown) = -75.73

Density functional theory data (PBE) for a relaxed structure of Dy2HoTl.

CIF file:
```
data_Dy2HoTl
_chemical_formula_sum 'Dy6 Ho3 Tl3'
_space_group_name_H-M_alt 'R 3 m'
_space_group_IT_number 160
_space_group_name_Hall 'R 3 -2"'
_cell_length_a 5.4564
_cell_length_b 5.4564
_cell_length_c 13.3580
_cell_angle_alpha 90.00
_cell_angle_beta 90.00
_cell_angle_gamma 120.00
loop_
_atom_site_label
_atom_site_type_symbol
_atom_site_fract_x
_atom_site_fract_y
_atom_site_fract_z
_atom_site_occupancy
Dy1 Dy 0.0000 0.0000 0.0000 1
Dy2 Dy 0.0000 0.0000 0.2494 1
Ho1 Ho 0.0000 0.0000 0.7504 1
Tl1 Tl 0.0000 0.0000 0.5000 1
```

Values from the calculation:
- calculated formation energy (kcal/mol of atoms) = -0.42
- magnetic moment (μB per atom) = 0.36
- crystal system = trigonal
- density (Mg/m³) = 10.0
- E (eV for the cell shown) = -48.66
- excess energy over the best structure of this formula in the dataset (meV/atom) = 170.1